This record from Alexandria describes a relaxed structure of SrH16O10. The functional is PBE.

Values from the calculation:
The density of states at the Fermi level comes out at 0.000 states/eV/atom. The value obtained for the volume is 257.8 Å³/f.u. As for the raw total energy: -5.006 eV per atom. For the energy relative to the lowest polymorph listed for this composition, the calculation gives 4.4 kJ/mol of atoms.

a b c (Å): 6.523 6.523 6.066
angles (deg): 88.42 88.42 92.08
Fractional positions:
O: 0.764 0.251 0.252
H: 0.144 0.735 0.336
H: 0.647 0.339 0.801
O: 0.243 0.203 0.730
H: 0.907 0.695 0.724
O: 0.232 0.223 0.270
O: 0.252 0.809 0.249
H: 0.302 0.654 0.806
O: 0.777 0.768 0.730
O: 0.486 0.512 0.877
O: 0.488 0.514 0.123
H: 0.227 0.235 0.570
H: 0.333 0.336 0.209
Sr: 0.976 0.024 0.000
H: 0.330 0.319 0.789
H: 0.305 0.093 0.276
O: 0.749 0.236 0.748
H: 0.843 0.322 0.363
H: 0.681 0.670 0.211
H: 0.765 0.773 0.430
H: 0.678 0.157 0.637
H: 0.664 0.667 0.791
H: 0.661 0.353 0.199
H: 0.265 0.856 0.664
O: 0.797 0.757 0.270
H: 0.346 0.698 0.194
O: 0.191 0.748 0.751